(1)
DFT (PBE) results for ZrTlW2 after structural relaxation.

## Properties
* polymorph energy (0 for the lowest one): 1.42 eV/f.u.
* space-group type: Cm
* formation energy: 0.6407 eV per atom
* spin magnetization: 0.000 μB/f.u.
* raw total energy: -8.565 eV per atom

a = 5.151 Å, b = 5.151 Å, c = 5.410 Å
α = 83.30°, β = 83.30°, γ = 32.45°
Fractional coordinates of all 4 atoms:
Tl 0.253 0.253 0.250
W 0.000 0.000 0.983
W 0.747 0.747 0.764
Zr 0.500 0.500 0.502


(2)
DFT (PBE) results for ZrTl2W after structural relaxation.

## Properties
* polymorph energy (0 for the lowest one): 0.58 eV/f.u.
* space-group type: R-3m
* formation energy: 0.5912 eV per atom
* spin magnetization: 0.000 μB/f.u.
* raw total energy: -5.967 eV per atom

a = 10.187 Å, b = 10.187 Å, c = 10.187 Å
α = 17.68°, β = 17.68°, γ = 17.68°
Fractional coordinates of all 4 atoms:
Zr 0.750 0.750 0.750
W 0.250 0.250 0.250
Tl 0.997 0.997 0.997
Tl 0.503 0.503 0.503


(3)
DFT (PBE) results for ZrTl2W after structural relaxation.

## Properties
* polymorph energy (0 for the lowest one): 0.67 eV/f.u.
* space-group type: I-4m2
* formation energy: 0.6133 eV per atom
* spin magnetization: 0.011 μB/f.u.
* raw total energy: -5.945 eV per atom

a = 5.511 Å, b = 5.511 Å, c = 5.511 Å
α = 134.31°, β = 134.31°, γ = 66.60°
Fractional coordinates of all 4 atoms:
Tl 0.250 0.750 0.500
Tl 0.000 0.000 0.000
Zr 0.750 0.250 0.500
W 0.500 0.500 0.000


(4)
DFT (PBE) results for ZrTlW2 after structural relaxation.

## Properties
* polymorph energy (0 for the lowest one): 0.25 eV/f.u.
* space-group type: Cmm2
* formation energy: 0.3476 eV per atom
* spin magnetization: 0.000 μB/f.u.
* raw total energy: -8.858 eV per atom

a = 2.975 Å, b = 2.975 Å, c = 9.524 Å
α = 90.00°, β = 90.00°, γ = 112.18°
Fractional coordinates of all 4 atoms:
W 0.000 0.000 0.024
W 0.500 0.500 0.236
Zr 0.000 0.000 0.479
Tl 0.500 0.500 0.761